# 1
A relaxed Ac2CoAuO6 crystal, computed with PBE with a Hubbard U.

a b c (Å): 5.658 5.658 4.314
angles (deg): 90.00 90.00 90.00
Space group P4mm (No. 99)
Asymmetric unit:
Ac: 0.000 0.500 0.000 [2 per cell]
Co: 0.000 0.000 0.530 [1 per cell]
Au: 0.500 0.500 0.537 [1 per cell]
O: 0.000 0.000 0.104 [1 per cell]
O: 0.233 0.233 0.608 [4 per cell]
O: 0.500 0.500 0.042 [1 per cell]

As for the crystal system: tetragonal. The volume comes out at 13.810 Å³ per atom.

***

# 2
A relaxed Na4PaNi3O8 crystal, computed with PBE with a Hubbard U.

a b c (Å): 6.2640 6.2640 16.5642
angles (deg): 90.00 90.00 120.00
Space group R-3m (No. 166, hexagonal axes)
Asymmetric unit:
Na: 0.0000 0.0000 0.0000 [3 per cell]
Na: 0.0000 0.5000 0.0000 [9 per cell]
Pa: 0.0000 0.0000 0.5000 [3 per cell]
Ni: 0.0000 0.5000 0.5000 [9 per cell]
O: 0.0000 0.0000 0.2283 [6 per cell]
O: 0.0030 0.5015 0.7610 [18 per cell]

As for the crystal system: trigonal. The volume comes out at 11.729 Å³ per atom.

***

Number 1: E_tot -64.1 eV/cell. Number 2: E_tot -271.4 eV/cell.